A relaxed structure of KPuMnO4. Source: Alexandria, functional GGA+U.

Output
uncorrected energy	-116.4	eV per cell

Cell: 6.921 6.820 7.026 Å, 121.00 89.99 120.49°
Last column: magnetic moment on the atom in μB.
Sites, in units of the cell vectors:
K  0.865  0.729  0.115  0.00
K  0.135  0.271  0.885  0.00
Pu  0.500  0.000  0.500  3.54
Pu  0.500  0.000  0.000  3.54
Mn  0.500  0.500  0.500  4.60
Mn  0.000  0.500  0.500  4.60
O  0.718  0.435  0.667  -0.09
O  0.310  0.009  0.255  -0.08
O  0.699  0.009  0.254  -0.08
O  0.718  0.435  0.268  -0.09
O  0.282  0.565  0.732  -0.09
O  0.690  0.991  0.745  -0.08
O  0.301  0.991  0.746  -0.08
O  0.282  0.565  0.333  -0.09